Record 1
VASP calculation (PBE) on crystalline Mg16UAl12 at its relaxed geometry.

Calculated values
- Total DFT energy (no corrections): -2.75 eV/atom
- Size of the total moment: 0.06 μB per cell

POSCAR file:
```
Mg16UAl12
1.0
5.3187 -7.5973 0.0000
5.3187 7.5973 0.0000
-5.2750 0.0000 7.3572
Mg U Al
16 1 12
direct
0.0000 0.0000 0.0000
0.0330 0.6354 0.0450
0.0636 0.7449 0.7560
0.3456 0.6636 0.9642
0.3463 0.6837 0.3543
0.3509 0.9430 0.6751
0.3517 0.3517 0.3576
0.3635 0.3635 0.7111
0.6354 0.0330 0.0450
0.6558 0.9565 0.3599
0.6636 0.3456 0.9642
0.6837 0.3463 0.3543
0.7449 0.0636 0.7560
0.7542 0.7542 0.0883
0.9430 0.3509 0.6751
0.9565 0.6558 0.3599
0.0330 0.0330 0.6311
0.1602 0.3459 0.9923
0.1609 0.9807 0.3571
0.1702 0.5303 0.5514
0.3459 0.1602 0.9923
0.3467 0.9831 0.1789
0.5279 0.7137 0.7295
0.5303 0.1702 0.5514
0.5395 0.5395 0.1858
0.7137 0.5279 0.7295
0.7207 0.7207 0.5555
0.9807 0.1609 0.3571
0.9831 0.3467 0.1789
```


Record 2
VASP calculation (PBE) on crystalline Hf3Al3NiAu2 at its relaxed geometry.

Calculated values
- Total DFT energy (no corrections): -6.53 eV/atom
- Size of the total moment: 0.01 μB per cell

POSCAR file:
```
Hf3Al3NiAu2
1.0
6.7276 0.0000 0.0000
-3.3638 5.8263 0.0000
0.0000 0.0000 4.0277
Hf Al Ni Au
3 3 1 2
direct
0.0000 0.4021 0.0000
0.4021 0.0000 0.0000
0.5979 0.5979 0.0000
0.0000 0.7636 0.5000
0.2364 0.2364 0.5000
0.7636 0.0000 0.5000
0.0000 0.0000 0.0000
0.3333 0.6667 0.5000
0.6667 0.3333 0.5000
```


Record 3
VASP calculation (PBE) on crystalline CsNdCl3 at its relaxed geometry.

Calculated values
- Total DFT energy (no corrections): -4.17 eV/atom
- Size of the total moment: 0.00 μB per cell
- Offset from the most stable computed form: 4.23 kJ/mol of atoms

POSCAR file:
```
CsNdCl3
1.0
7.8805 0.0000 0.0000
0.0000 11.0989 0.0000
0.0000 0.0000 7.7974
Cs Nd Cl
4 4 12
direct
0.0154 0.2500 0.0070
0.4846 0.7500 0.5070
0.5154 0.2500 0.4930
0.9846 0.7500 0.9930
0.0000 0.0000 0.5000
0.0000 0.5000 0.5000
0.5000 0.0000 0.0000
0.5000 0.5000 0.0000
0.0007 0.7500 0.4962
0.2388 0.5030 0.7615
0.2388 0.9970 0.7615
0.2612 0.0030 0.2615
0.2612 0.4970 0.2615
0.4993 0.2500 0.9962
0.5007 0.7500 0.0038
0.7388 0.5030 0.7385
0.7388 0.9970 0.7385
0.7612 0.0030 0.2385
0.7612 0.4970 0.2385
0.9993 0.2500 0.5038
```


Record 4
VASP calculation (PBE) on crystalline Hf4In3Mo2N3 at its relaxed geometry.

Calculated values
- Total DFT energy (no corrections): -8.62 eV/atom
- Size of the total moment: 0.00 μB per cell

POSCAR file:
```
Hf4In3Mo2N3
1.0
4.8009 -2.7872 0.0000
4.8009 2.7872 0.0000
-3.0902 0.0000 14.4458
Hf In Mo N
8 6 4 6
direct
0.0145 0.2062 0.0842
0.1525 0.3054 0.4161
0.2062 0.0145 0.5842
0.3054 0.1525 0.9161
0.6946 0.8475 0.0839
0.7938 0.9855 0.4158
0.8475 0.6946 0.5839
0.9855 0.7938 0.9158
0.1024 0.8976 0.2500
0.2664 0.4163 0.7466
0.4163 0.2664 0.2466
0.5837 0.7336 0.7534
0.7336 0.5837 0.2534
0.8976 0.1024 0.7500
0.3854 0.5256 0.0812
0.4744 0.6146 0.4188
0.5256 0.3854 0.5812
0.6146 0.4744 0.9188
0.0000 0.5000 0.0000
0.1422 0.6789 0.4997
0.3211 0.8578 0.0003
0.5000 0.0000 0.5000
0.6789 0.1422 0.9997
0.8578 0.3211 0.5003
```


Record 5
VASP calculation (PBE) on crystalline NdTlSbS3 at its relaxed geometry.

Calculated values
- Total DFT energy (no corrections): -4.78 eV/atom
- Size of the total moment: 0.01 μB per cell

POSCAR file:
```
NdTlSbS3
1.0
2.0073 -7.3792 0.0000
2.0073 7.3792 0.0000
0.0000 0.0000 11.5165
Nd Tl Sb S
2 2 2 6
direct
0.0000 0.0000 0.0000
0.0000 0.0000 0.5000
0.3241 0.6759 0.7500
0.6759 0.3241 0.2500
0.3660 0.6340 0.2500
0.6340 0.3660 0.7500
0.0035 0.9965 0.2500
0.3679 0.6321 0.0177
0.3679 0.6321 0.4823
0.6321 0.3679 0.5177
0.6321 0.3679 0.9823
0.9965 0.0035 0.7500
```


Record 6
VASP calculation (PBE) on crystalline BaNaPbAu at its relaxed geometry.

Calculated values
- Total DFT energy (no corrections): -2.86 eV/atom
- Offset from the most stable computed form: 7.76 kJ/mol of atoms

POSCAR file:
```
BaNaPbAu
1.0
0.0000 3.9573 3.9573
3.9573 0.0000 3.9573
3.9573 3.9573 0.0000
Ba Na Pb Au
1 1 1 1
direct
0.0000 0.0000 0.0000
0.5000 0.5000 0.5000
0.7500 0.7500 0.7500
0.2500 0.2500 0.2500
```


Record 7
VASP calculation (PBE) on crystalline NdMg2Al3Ge2Ir at its relaxed geometry.

Calculated values
- Total DFT energy (no corrections): -4.70 eV/atom
- Size of the total moment: 0.00 μB per cell

POSCAR file:
```
NdMg2Al3Ge2Ir
1.0
4.1476 0.0000 0.0000
0.0000 6.0157 3.4187
0.0000 -6.0157 3.4187
Nd Mg Al Ge Ir
1 2 3 2 1
direct
0.0000 0.0000 0.0000
0.0000 0.4213 0.8253
0.0000 0.8253 0.4213
0.5000 0.1965 0.4316
0.5000 0.4316 0.1965
0.5000 0.6582 0.6582
0.5000 0.1055 0.7539
0.5000 0.7539 0.1055
0.0000 0.4414 0.4414
```


Record 8
VASP calculation (PBE) on crystalline SmTlGaTe3 at its relaxed geometry.

Calculated values
- Total DFT energy (no corrections): -3.97 eV/atom
- Size of the total moment: 0.02 μB per cell
- Offset from the most stable computed form: 0.00 kJ/mol of atoms

POSCAR file:
```
SmTlGaTe3
1.0
12.2466 0.0000 0.0000
0.0000 5.0334 0.0000
0.0000 0.0000 12.8155
Sm Tl Ga Te
4 4 4 12
direct
0.0226 0.2500 0.1830
0.4774 0.7500 0.6830
0.5226 0.2500 0.3170
0.9774 0.7500 0.8170
0.1811 0.2500 0.4924
0.3189 0.7500 0.9924
0.6811 0.2500 0.0076
0.8189 0.7500 0.5076
0.2425 0.2500 0.7765
0.2575 0.7500 0.2765
0.7425 0.2500 0.7235
0.7575 0.7500 0.2235
0.0482 0.7500 0.3490
0.0901 0.2500 0.9359
0.2136 0.7500 0.6944
0.2864 0.2500 0.1944
0.4099 0.7500 0.4359
0.4518 0.2500 0.8490
0.5482 0.7500 0.1510
0.5901 0.2500 0.5641
0.7136 0.7500 0.8056
0.7864 0.2500 0.3056
0.9099 0.7500 0.0641
0.9518 0.2500 0.6510
```


Record 9
VASP calculation (PBE) on crystalline Ho3AuS6 at its relaxed geometry.

Calculated values
- Total DFT energy (no corrections): -5.68 eV/atom
- Size of the total moment: 0.00 μB per cell

POSCAR file:
```
Ho3AuS6
1.0
4.1782 0.0000 0.0000
0.6288 6.6424 0.0000
1.7612 0.0315 8.2655
Ho Au S
3 1 6
direct
0.0000 0.0000 0.0000
0.3635 0.5467 0.2696
0.6365 0.4533 0.7304
0.0000 0.0000 0.5000
0.1597 0.6737 0.5986
0.1751 0.1725 0.7069
0.4470 0.2630 0.0320
0.5530 0.7370 0.9680
0.8249 0.8275 0.2931
0.8403 0.3263 0.4014
```


Record 10
VASP calculation (PBE) on crystalline PrScZn2In2 at its relaxed geometry.

Calculated values
- Total DFT energy (no corrections): -3.62 eV/atom
- Size of the total moment: 0.02 μB per cell

POSCAR file:
```
PrScZn2In2
1.0
4.6406 0.0000 0.0000
-2.3203 4.0189 0.0000
0.0000 0.0000 7.2951
Pr Sc Zn In
1 1 2 2
direct
0.0000 0.0000 0.0000
0.0000 0.0000 0.5014
0.3333 0.6667 0.2190
0.6667 0.3333 0.6848
0.3333 0.6667 0.7527
0.6667 0.3333 0.2936
```


Record 11
VASP calculation (PBE) on crystalline TbSmPd2 at its relaxed geometry.

Calculated values
- Total DFT energy (no corrections): -5.81 eV/atom
- Formation enthalpy at 0 K: -0.887 eV per atom
- Size of the total moment: 0.01 μB per cell

POSCAR file:
```
TbSmPd2
1.0
4.5705 0.0000 0.0000
0.0000 1.8999 5.3467
0.0000 -1.8999 5.3467
Tb Sm Pd
1 1 2
direct
0.0000 0.0000 0.0000
0.5000 0.2733 0.2733
0.0000 0.7230 0.7230
0.5000 0.5500 0.5500
```


Record 12
VASP calculation (PBE) on crystalline ScTl2Cd at its relaxed geometry.

Calculated values
- Total DFT energy (no corrections): -2.94 eV/atom
- Size of the total moment: 0.01 μB per cell

POSCAR file:
```
ScTl2Cd
1.0
0.0000 3.6965 3.6965
3.6965 0.0000 3.6965
3.6965 3.6965 0.0000
Sc Tl Cd
1 2 1
direct
0.0000 0.0000 0.0000
0.5000 0.5000 0.5000
0.7500 0.7500 0.7500
0.2500 0.2500 0.2500
```


Record 13
VASP calculation (PBE) on crystalline YNiBPt at its relaxed geometry.

Calculated values
- Total DFT energy (no corrections): -6.04 eV/atom
- Size of the total moment: 0.00 μB per cell
- Offset from the most stable computed form: 18.22 kJ/mol of atoms

POSCAR file:
```
YNiBPt
1.0
0.0000 3.1220 3.1220
3.1220 0.0000 3.1220
3.1220 3.1220 0.0000
Y Ni B Pt
1 1 1 1
direct
0.0000 0.0000 0.0000
0.7500 0.7500 0.7500
0.5000 0.5000 0.5000
0.2500 0.2500 0.2500
```


Record 14
VASP calculation (PBE) on crystalline Mg2Ag at its relaxed geometry.

Calculated values
- Total DFT energy (no corrections): -2.12 eV/atom

POSCAR file:
```
Mg2Ag
1.0
1.6113 -7.4207 0.0000
1.6113 7.4207 0.0000
0.0000 0.0000 4.8185
Mg Ag
4 2
direct
0.0633 0.9367 0.7500
0.2610 0.7390 0.2500
0.7390 0.2610 0.7500
0.9367 0.0633 0.2500
0.3964 0.6036 0.7500
0.6036 0.3964 0.2500
```


Record 15
VASP calculation (PBE) on crystalline InSnW4N2 at its relaxed geometry.

Calculated values
- Total DFT energy (no corrections): -9.01 eV/atom
- Size of the total moment: 0.00 μB per cell

POSCAR file:
```
InSnW4N2
1.0
2.9592 0.0000 0.0000
-1.4796 2.5627 0.0000
0.0000 0.0000 15.1182
In Sn W N
1 1 4 2
direct
0.0000 0.0000 0.0000
0.3333 0.6667 0.5000
0.0000 0.0000 0.3424
0.0000 0.0000 0.6576
0.3333 0.6667 0.1610
0.3333 0.6667 0.8390
0.6667 0.3333 0.2517
0.6667 0.3333 0.7483
```


Record 16
VASP calculation (PBE) on crystalline ErTm2Fe7Co2 at its relaxed geometry.

Calculated values
- Total DFT energy (no corrections): -7.29 eV/atom
- Formation enthalpy at 0 K: -0.134 eV per atom
- Size of the total moment: 16.12 μB per cell

POSCAR file:
```
ErTm2Fe7Co2
1.0
2.5019 1.4445 8.0689
-2.5019 1.4445 8.0689
0.0000 -2.8890 8.0689
Er Tm Fe Co
1 2 7 2
direct
0.0000 0.0000 0.0000
0.1420 0.1420 0.1420
0.8580 0.8580 0.8580
0.0820 0.5820 0.5820
0.4180 0.4180 0.9180
0.4180 0.9180 0.4180
0.5000 0.5000 0.5000
0.5820 0.0820 0.5820
0.5820 0.5820 0.0820
0.9180 0.4180 0.4180
0.3327 0.3327 0.3327
0.6673 0.6673 0.6673
```


Record 17
VASP calculation (PBE) on crystalline Zr3Ge7 at its relaxed geometry.

Calculated values
- Total DFT energy (no corrections): -6.22 eV/atom
- Size of the total moment: 0.02 μB per cell

POSCAR file:
```
Zr3Ge7
1.0
1.9377 -11.9780 0.0000
1.9377 11.9780 0.0000
0.0000 0.0000 3.9442
Zr Ge
3 7
direct
0.0000 0.0000 0.0000
0.3134 0.6866 0.5000
0.6866 0.3134 0.5000
0.0959 0.9041 0.5000
0.2116 0.7884 0.0000
0.4038 0.5962 0.0000
0.5000 0.5000 0.5000
0.5962 0.4038 0.0000
0.7884 0.2116 0.0000
0.9041 0.0959 0.5000
```


Record 18
VASP calculation (PBE) on crystalline Ta4CuSiN2 at its relaxed geometry.

Calculated values
- Total DFT energy (no corrections): -9.63 eV/atom
- Size of the total moment: 0.00 μB per cell

POSCAR file:
```
Ta4CuSiN2
1.0
3.1689 0.0000 0.0000
-1.5844 2.7443 0.0000
0.0000 0.0000 12.5630
Ta Cu Si N
4 1 1 2
direct
0.0000 0.0000 0.1511
0.0000 0.0000 0.8489
0.6667 0.3333 0.3385
0.6667 0.3333 0.6615
0.0000 0.0000 0.5000
0.6667 0.3333 0.0000
0.3333 0.6667 0.2480
0.3333 0.6667 0.7520
```


Record 19
VASP calculation (PBE) on crystalline CsPdO3 at its relaxed geometry.

Calculated values
- Total DFT energy (no corrections): -4.43 eV/atom

POSCAR file:
```
CsPdO3
1.0
2.9167 1.6840 4.7496
-2.9167 1.6840 4.7496
0.0000 -3.3679 4.7496
Cs Pd O
2 2 6
direct
0.2500 0.2500 0.2500
0.7500 0.7500 0.7500
0.0000 0.0000 0.0000
0.5000 0.5000 0.5000
0.2366 0.7500 0.2634
0.2500 0.7366 0.7634
0.2634 0.2366 0.7500
0.7366 0.7634 0.2500
0.7500 0.2634 0.2366
0.7634 0.2500 0.7366
```


Record 20
VASP calculation (PBE) on crystalline LiTaHgPd at its relaxed geometry.

Calculated values
- Total DFT energy (no corrections): -4.59 eV/atom
- Size of the total moment: 0.00 μB per cell
- Offset from the most stable computed form: 22.53 kJ/mol of atoms

POSCAR file:
```
LiTaHgPd
1.0
0.0000 3.2042 3.2042
3.2042 0.0000 3.2042
3.2042 3.2042 0.0000
Li Ta Hg Pd
1 1 1 1
direct
0.0000 0.0000 0.0000
0.7500 0.7500 0.7500
0.5000 0.5000 0.5000
0.2500 0.2500 0.2500
```